[1]
Material: AlZnCd2
Method: DFT, GGA-PBE
State: relaxed

a b c (Å): 3.003 3.003 8.605
angles (deg): 90.00 90.00 90.00
Fractional positions:
Al1 0.000 0.000 0.000
Zn1 0.500 0.500 0.791
Cd1 0.000 0.000 0.543
Cd2 0.500 0.500 0.260

## Properties
The formation energy from the elements is 0.0752 eV/atom.


[2]
Material: ScPaO4
Method: DFT, GGA-PBE
State: relaxed

a b c (Å): 3.734 3.734 5.206
angles (deg): 90.00 90.00 90.00
Fractional positions:
Sc1 0.000 0.000 0.000
Pa1 0.500 0.500 0.500
O1 0.000 0.500 0.248
O2 0.000 0.500 0.752
O3 0.500 0.000 0.248
O4 0.500 0.000 0.752

## Properties
The calculation puts the uncorrected formation energy at -21.52 eV per formula unit.


[3]
Material: ScBi2C
Method: DFT, GGA-PBE
State: relaxed

a b c (Å): 6.319 6.319 6.319
angles (deg): 112.02 112.02 104.49
Fractional positions:
Sc1 0.000 0.000 0.000
Sc2 0.750 0.250 0.500
Bi1 0.202 0.125 0.577
Bi2 0.375 0.798 0.923
Bi3 0.548 0.625 0.423
Bi4 0.875 0.452 0.077
C1 0.250 0.750 0.500
C2 0.500 0.500 0.000

## Properties
The formation energy from the elements is 0.7797 eV/atom.


[4]
Material: HfTiTl2
Method: DFT, GGA-PBE
State: relaxed

a b c (Å): 3.141 3.141 8.625
angles (deg): 90.00 90.00 90.00
Fractional positions:
Hf1 0.000 0.000 0.000
Ti1 0.000 0.000 0.500
Tl1 0.500 0.500 0.261
Tl2 0.500 0.500 0.739

## Properties
The formation energy from the elements is 0.1334 eV/atom.


[5]
Material: Cr2Cu5Pd12
Method: DFT, GGA-PBE
State: relaxed

a b c (Å): 8.021 8.021 7.318
angles (deg): 107.26 107.26 40.88
Fractional positions:
Cr1 0.169 0.831 0.000
Cr2 0.831 0.169 0.000
Cu1 0.246 0.246 0.000
Cu2 0.251 0.251 0.496
Cu3 0.500 0.500 0.500
Cu4 0.749 0.749 0.504
Cu5 0.754 0.754 0.000
Pd1 0.027 0.027 0.340
Pd2 0.093 0.590 0.799
Pd3 0.094 0.612 0.337
Pd4 0.388 0.906 0.663
Pd5 0.410 0.907 0.201
Pd6 0.437 0.437 0.133
Pd7 0.563 0.563 0.867
Pd8 0.590 0.093 0.799
Pd9 0.612 0.094 0.337
Pd10 0.906 0.388 0.663
Pd11 0.907 0.410 0.201
Pd12 0.973 0.973 0.660

## Properties
The formation energy from the elements is 0.1501 eV/atom.


[6]
Material: SrLiY2Mo
Method: DFT, GGA-PBE
State: relaxed

a b c (Å): 5.391 5.391 4.870
angles (deg): 90.00 90.00 90.00
Fractional positions:
Sr1 0.000 0.000 0.000
Li1 0.500 0.500 0.500
Y1 0.000 0.500 0.500
Y2 0.500 0.000 0.500
Mo1 0.500 0.500 0.000

## Properties
The formation energy from the elements is 0.8313 eV/atom.


[7]
Material: La3CePm6
Method: DFT, GGA-PBE
State: relaxed

a b c (Å): 7.004 7.004 7.004
angles (deg): 91.44 91.44 91.44
Fractional positions:
La1 0.000 0.000 0.000
La2 0.247 0.247 0.247
La3 0.713 0.713 0.713
Ce1 0.483 0.483 0.483
Pm1 0.131 0.471 0.770
Pm2 0.264 0.953 0.608
Pm3 0.471 0.770 0.131
Pm4 0.608 0.264 0.953
Pm5 0.770 0.131 0.471
Pm6 0.953 0.608 0.264

## Properties
The formation energy from the elements is 0.2258 eV/atom.


[8]
Material: AlAg2Pb
Method: DFT, GGA-PBE
State: relaxed

a b c (Å): 3.139 4.656 6.043
angles (deg): 90.00 102.02 90.00
Fractional positions:
Al1 0.000 0.000 0.000
Ag1 0.335 0.000 0.609
Ag2 0.899 0.500 0.766
Pb1 0.599 0.500 0.260

## Properties
The formation energy from the elements is 0.1357 eV/atom.


[9]
Material: BeZnIrPb2
Method: DFT, GGA-PBE
State: relaxed

a b c (Å): 4.933 4.933 4.230
angles (deg): 90.00 90.00 90.00
Fractional positions:
Be1 0.000 0.000 0.000
Zn1 0.000 0.000 0.500
Ir1 0.500 0.500 0.500
Pb1 0.000 0.500 0.000
Pb2 0.500 0.000 0.000

## Properties
The formation energy from the elements is 0.8185 eV/atom.


Number 7 is which compound? La3CePm6